(1)
A plane-wave DFT calculation with SCAN was carried out for a crystal of Ga3BiSe relaxed with PBEsol.

Unit cell a=4.990 b=4.990 c=4.990 alpha=90.00 beta=90.00 gamma=90.00
Space group Pm-3m (No. 221)
Unique sites:
Ga: 0.000 0.000 0.500 x3
Bi: 0.500 0.500 0.500 x1
Se: 0.000 0.000 0.000 x1

Output
Size of the total moment in μB per atom: 0.000
Crystal system: cubic
E_form (uncorrected) in meV per atom: 407

(2)
A plane-wave DFT calculation with SCAN was carried out for a crystal of Ga2SnBi relaxed with PBEsol.

Unit cell a=7.195 b=7.195 c=7.195 alpha=90.00 beta=90.00 gamma=90.00
Space group Fm-3m (No. 225)
Unique sites:
Ga: 0.250 0.250 0.250 x8
Sn: 0.000 0.000 0.000 x4
Bi: 0.000 0.000 0.500 x4

Output
Size of the total moment in μB per atom: 0.000
Crystal system: cubic
Formation energy in meV per atom: 227.0
Energy above the lowest structure with this stoichiometry in eV/atom: 0.165

(3)
A plane-wave DFT calculation with SCAN was carried out for a crystal of GaSn2Bi relaxed with PBEsol.

Unit cell a=6.419 b=6.419 c=12.914 alpha=90.00 beta=90.00 gamma=90.00
Space group I-42d (No. 122)
Unique sites:
Ga: 0.000 0.000 0.000 x4
Sn: 0.209 0.250 0.125 x8
Bi: 0.000 0.000 0.500 x4

Output
Size of the total moment in μB per atom: 0.000
Crystal system: tetragonal
Formation energy in meV per atom: 40.9